# Hf2Ag2Sn3

A geometry-optimized Hf2Ag2Sn3 structure (PBE, OQMD).

Cell and atoms, written as CIF:
```
data_Hf2Ag2Sn3
_chemical_formula_sum 'Hf2 Ag2 Sn3'
_cell_length_a 8.7705
_cell_length_b 8.7705
_cell_length_c 8.7705
_cell_angle_alpha 31.49
_cell_angle_beta 31.49
_cell_angle_gamma 31.49
_space_group_name_H-M_alt 'P 1'
_space_group_IT_number 1
_space_group_name_Hall 'P 1'
loop_
_atom_site_label
_atom_site_fract_x
_atom_site_fract_y
_atom_site_fract_z
Hf1 0.0000 0.0000 0.0000
Hf2 0.4990 0.4990 0.4990
Ag1 0.2523 0.2523 0.2523
Ag2 0.7407 0.7407 0.7407
Sn1 0.1244 0.1244 0.1244
Sn2 0.3659 0.3659 0.3659
Sn3 0.8870 0.8870 0.8870
```

Summary:
For the total DFT energy (no corrections), the calculation gives -5.20 eV/atom.

---

# SrHf2Ag

A geometry-optimized SrHf2Ag structure (PBE, OQMD).

Cell and atoms, written as CIF:
```
data_SrHf2Ag
_chemical_formula_sum 'Sr4 Hf8 Ag4'
_cell_length_a 7.3389
_cell_length_b 7.3389
_cell_length_c 7.3389
_cell_angle_alpha 90.00
_cell_angle_beta 90.00
_cell_angle_gamma 90.00
_space_group_name_H-M_alt 'P 1'
_space_group_IT_number 1
_space_group_name_Hall 'P 1'
loop_
_atom_site_label
_atom_site_fract_x
_atom_site_fract_y
_atom_site_fract_z
Sr1 0.0000 0.0000 0.0000
Sr2 0.0000 0.5000 0.5000
Sr3 0.5000 0.0000 0.5000
Sr4 0.5000 0.5000 0.0000
Hf1 0.0000 0.0000 0.5000
Hf2 0.0000 0.5000 0.0000
Hf3 0.2500 0.2500 0.7500
Hf4 0.2500 0.7500 0.2500
Hf5 0.5000 0.0000 0.0000
Hf6 0.5000 0.5000 0.5000
Hf7 0.7500 0.2500 0.2500
Hf8 0.7500 0.7500 0.7500
Ag1 0.2500 0.2500 0.2500
Ag2 0.2500 0.7500 0.7500
Ag3 0.7500 0.2500 0.7500
Ag4 0.7500 0.7500 0.2500
```

Summary:
For the total DFT energy (no corrections), the calculation gives -5.54 eV/atom.

---

# SrHfAg

A geometry-optimized SrHfAg structure (PBE, OQMD).

Cell and atoms, written as CIF:
```
data_SrHfAg
_chemical_formula_sum 'Sr4 Hf4 Ag4'
_cell_length_a 7.1009
_cell_length_b 7.1009
_cell_length_c 7.1009
_cell_angle_alpha 90.00
_cell_angle_beta 90.00
_cell_angle_gamma 90.00
_space_group_name_H-M_alt 'P 1'
_space_group_IT_number 1
_space_group_name_Hall 'P 1'
loop_
_atom_site_label
_atom_site_fract_x
_atom_site_fract_y
_atom_site_fract_z
Sr1 0.0000 0.0000 0.0000
Sr2 0.0000 0.5000 0.5000
Sr3 0.5000 0.0000 0.5000
Sr4 0.5000 0.5000 0.0000
Hf1 0.2500 0.2500 0.2500
Hf2 0.2500 0.7500 0.7500
Hf3 0.7500 0.2500 0.7500
Hf4 0.7500 0.7500 0.2500
Ag1 0.2500 0.2500 0.7500
Ag2 0.2500 0.7500 0.2500
Ag3 0.7500 0.2500 0.2500
Ag4 0.7500 0.7500 0.7500
```

Summary:
The offset from the most stable computed form is 387 meV per atom.